A relaxed HoCoO3 crystal, computed with PBE+U.

a = 4.2354 Å, b = 4.2354 Å, c = 4.2354 Å
α = 90.00°, β = 90.00°, γ = 90.00°
Element x y z (fractional)
Ho: 0.0000 0.0000 0.0000
Co: 0.5000 0.5000 0.5000
O: 0.0000 0.0000 0.5000
O: 0.0000 0.5000 0.0000
O: 0.5000 0.0000 0.0000

Density: 5.94 g/cm3
Energy: -29.95 eV/f.u.